# TlCrI2O (GGA+U, relaxed)
# magnetization	4.9	μB per cell
# final energy	-3.53	eV per atom
# symmetry	P4/mmm (123)
data_TlCrI2O
_chemical_formula_sum 'Tl1 Cr1 I2 O1'
_symmetry_space_group_name_H-M 'P 1'
_symmetry_Int_Tables_number 1
_cell_length_a 6.1674
_cell_length_b 6.1674
_cell_length_c 4.1096
_cell_angle_alpha 90.00
_cell_angle_beta 90.00
_cell_angle_gamma 90.00
loop_
_symmetry_equiv_pos_as_xyz
'x,y,z'
loop_
_atom_site_label
_atom_site_fract_x
_atom_site_fract_y
_atom_site_fract_z
I1 0.0000 0.5000 0.0000
I2 0.5000 0.0000 0.0000
Cr1 0.5000 0.5000 0.5000
Tl1 0.0000 0.0000 0.0000
O1 0.0000 0.0000 0.5000